Density functional theory data (GGA-PBE) for a relaxed Na3CdHg2 crystal.

The space group is P4/mmm (No. 123) and the conventional cell measures 3.570, 3.570 and 12.359 Å, with angles of 90.00, 90.00 and 90.00 degrees. Symmetry generates all atoms from Na at (0.000, 0.000, 0.000), Na at (0.000, 0.000, 0.328), Cd at (0.500, 0.500, 0.500) and Hg at (0.500, 0.500, 0.165).

For the formation energy, the calculation gives -1.1 eV/f.u. Its density of states at the Fermi level is 1.88 states/eV per cell. As for the offset from the most stable computed form: 0.000 eV/atom. Its uncorrected energy is -1.0973 eV/atom.